# Tb2H4Ir GGA-PBE optimized geometry
data_Tb2H4Ir
_chemical_formula_sum 'Tb4 H8 Ir2'
_space_group_name_H-M_alt 'I 4/m m m'
_space_group_IT_number 139
_space_group_name_Hall '-I 4 2'
_cell_length_a 3.6541
_cell_length_b 3.6541
_cell_length_c 12.5617
_cell_angle_alpha 90.00
_cell_angle_beta 90.00
_cell_angle_gamma 90.00
loop_
_atom_site_label
_atom_site_type_symbol
_atom_site_fract_x
_atom_site_fract_y
_atom_site_fract_z
Tb1 Tb 0.0000 0.0000 0.1489
H1 H 0.0000 0.0000 0.3573
H2 H 0.0000 0.5000 0.0000
Ir1 Ir 0.0000 0.0000 0.5000
# DFT total energy	-68.99	eV per cell
# V	167.7	Å³ per cell
# total magnetic moment	0.35	μB/f.u.
# theoretical density	10.179	g/cm3



# Ce2SmDy3Y6 GGA-PBE optimized geometry
data_Ce2SmDy3Y6
_chemical_formula_sum 'Ce4 Sm2 Dy6 Y12'
_space_group_name_H-M_alt 'C 1 2/m 1'
_space_group_IT_number 12
_cell_length_a 6.1714
_cell_length_b 10.6876
_cell_length_c 11.7892
_cell_angle_alpha 90.00
_cell_angle_beta 100.04
_cell_angle_gamma 90.00
loop_
_space_group_symop_operation_xyz
'x,y,z'
'-x,-y,-z'
'-x,y,-z'
'x,-y,z'
'x+1/2,y+1/2,z'
'-x+1/2,-y+1/2,-z'
'-x+1/2,y+1/2,-z'
'x+1/2,-y+1/2,z'
loop_
_atom_site_label
_atom_site_type_symbol
_atom_site_fract_x
_atom_site_fract_y
_atom_site_fract_z
Ce1 Ce 0.0000 0.1667 0.0000
Sm1 Sm 0.0000 0.5000 0.0000
Dy1 Dy 0.0000 0.0000 0.5000
Dy2 Dy 0.0000 0.3338 0.5000
Y1 Y 0.2480 0.0000 0.2499
Y2 Y 0.2486 0.1678 0.7501
# DFT total energy	-137.10	eV per cell
# formation energy	52	meV/atom
# V	765.7	Å³ per cell
# total magnetic moment	1.87	μB/f.u.
# theoretical density	6.296	g/cm3



# PuAlPt GGA-PBE optimized geometry
data_PuAlPt
_chemical_formula_sum 'Pu2 Al2 Pt2'
_space_group_name_H-M_alt 'P 4/n m m'
_space_group_IT_number 129
_cell_length_a 4.1726
_cell_length_b 4.1726
_cell_length_c 7.0353
_cell_angle_alpha 90.00
_cell_angle_beta 90.00
_cell_angle_gamma 90.00
loop_
_space_group_symop_operation_xyz
'x,y,z'
'-x,-y,-z'
'-y+1/2,x,z'
'y+1/2,-x,-z'
'-x+1/2,-y+1/2,z'
'x+1/2,y+1/2,-z'
'y,-x+1/2,z'
'-y,x+1/2,-z'
'x+1/2,-y,-z'
'-x+1/2,y,z'
'-y,-x,-z'
'y,x,z'
'-x,y+1/2,-z'
'x,-y+1/2,z'
'y+1/2,x+1/2,-z'
'-y+1/2,-x+1/2,z'
loop_
_atom_site_label
_atom_site_type_symbol
_atom_site_fract_x
_atom_site_fract_y
_atom_site_fract_z
Pu1 Pu 0.2500 0.2500 0.1362
Al1 Al 0.2500 0.7500 0.5000
Pt1 Pt 0.2500 0.2500 0.7118
# DFT total energy	-52.95	eV per cell
# formation energy	-786	meV/atom
# V	122.5	Å³ per cell
# total magnetic moment	5.65	μB/f.u.
# theoretical density	12.637	g/cm3



# Pm3Ga2Ni9Sn GGA-PBE optimized geometry
data_Pm3Ga2Ni9Sn
_chemical_formula_sum 'Pm3 Ga2 Ni9 Sn1'
_space_group_name_H-M_alt 'P -3 m 1'
_space_group_IT_number 164
_space_group_name_Hall '-P 3 2"'
_cell_length_a 6.0245
_cell_length_b 6.0245
_cell_length_c 9.0011
_cell_angle_alpha 90.00
_cell_angle_beta 90.00
_cell_angle_gamma 120.00
loop_
_atom_site_label
_atom_site_type_symbol
_atom_site_fract_x
_atom_site_fract_y
_atom_site_fract_z
Pm1 Pm 0.0000 0.0000 0.0000
Pm2 Pm 0.3333 0.6667 0.7168
Ga1 Ga 0.3333 0.6667 0.1773
Ni1 Ni 0.0000 0.5000 0.0000
Ni2 Ni 0.1332 0.2665 0.2676
Sn1 Sn 0.0000 0.0000 0.5000
# DFT total energy	-77.99	eV per cell
# formation energy	-110	meV/atom
# V	282.9	Å³ per cell
# total magnetic moment	0.00	μB/f.u.
# theoretical density	7.169	g/cm3



# Sb6PtAu GGA-PBE optimized geometry
data_Sb6PtAu
_chemical_formula_sum 'Sb6 Pt1 Au1'
_space_group_name_H-M_alt 'P -1'
_space_group_IT_number 2
_cell_length_a 6.6664
_cell_length_b 6.6689
_cell_length_c 6.7152
_cell_angle_alpha 60.26
_cell_angle_beta 60.24
_cell_angle_gamma 60.05
loop_
_space_group_symop_operation_xyz
'x,y,z'
'-x,-y,-z'
loop_
_atom_site_label
_atom_site_type_symbol
_atom_site_fract_x
_atom_site_fract_y
_atom_site_fract_z
Sb1 Sb 0.0267 0.2914 0.2262
Sb2 Sb 0.2086 0.0447 0.7734
Sb3 Sb 0.4553 0.5276 0.2261
Pt1 Pt 0.0000 0.5000 0.5000
Au1 Au 0.5000 0.0000 0.0000
# DFT total energy	-34.93	eV per cell
# V	212.0	Å³ per cell
# total magnetic moment	0.00	μB/f.u.
# theoretical density	8.794	g/cm3



# Rb3Ac3TeO8 GGA-PBE optimized geometry
data_Rb3Ac3TeO8
_chemical_formula_sum 'Rb9 Ac9 Te3 O24'
_space_group_name_H-M_alt 'R -3 m'
_space_group_IT_number 166
_space_group_name_Hall '-R 3 2"'
_cell_length_a 7.5390
_cell_length_b 7.5390
_cell_length_c 20.0473
_cell_angle_alpha 90.00
_cell_angle_beta 90.00
_cell_angle_gamma 120.00
loop_
_atom_site_label
_atom_site_type_symbol
_atom_site_fract_x
_atom_site_fract_y
_atom_site_fract_z
Rb1 Rb 0.0000 0.5000 0.0000
Ac1 Ac 0.0000 0.5000 0.5000
Te1 Te 0.0000 0.0000 0.5000
O1 O 0.0000 0.0000 0.2277
O2 O 0.0338 0.5169 0.2239
# DFT total energy	-274.70	eV per cell
# V	986.8	Å³ per cell
# total magnetic moment	0.00	μB/f.u.
# theoretical density	6.023	g/cm3